1.
{
  "formula": "Na3Dy2HfTe6",
  "functional": "PBE-GGA",
  "state": "relaxed",
  "sg": "C2/m",
  "formation_energy_uncorrected_ev_per_atom": -1.131,
  "cell": [[7.458, -0.001, -0.002], [-3.728, 6.459, -0.002], [-1.246, -2.157, 7.637]],
  "species": ["Na", "Na", "Na", "Dy", "Dy", "Hf", "Te", "Te", "Te", "Te", "Te", "Te"],
  "fractional_positions": [[0.172, 0.828, 0.500], [0.828, 0.172, 0.500], [0.500, 0.500, 0.500], [0.334, 0.666, 0.000], [0.666, 0.334, 0.000], [0.000, 0.000, 0.000], [0.924, 0.605, 0.771], [0.759, 0.759, 0.230], [0.076, 0.395, 0.229], [0.605, 0.924, 0.771], [0.241, 0.241, 0.770], [0.395, 0.076, 0.229]]
}

2.
{
  "formula": "MgAgSe",
  "functional": "PBE-GGA",
  "state": "relaxed",
  "de_polymorph_mev_per_atom": 0,
  "sg": "C2/m",
  "formation_energy_uncorrected_ev_per_atom": -0.452,
  "cell": [[4.075, 0.000, 0.000], [-2.037, 3.359, -1.889], [0.000, -3.443, 12.966]],
  "species": ["Se", "Se", "Ag", "Ag", "Mg", "Mg"],
  "fractional_positions": [[0.912, 0.825, 0.817], [0.088, 0.175, 0.183], [0.754, 0.507, 0.429], [0.246, 0.493, 0.571], [0.851, 0.702, 0.252], [0.149, 0.298, 0.748]]
}

3.
{
  "formula": "BaPuTcP2",
  "functional": "PBE-GGA",
  "state": "relaxed",
  "ef_ev_per_fu": -2.74,
  "sg": "I-4m2",
  "cell": [[4.072, 0.000, 0.000], [0.000, 4.072, 0.000], [-2.036, -2.036, 7.068]],
  "species": ["Ba", "Pu", "Tc", "P", "P"],
  "fractional_positions": [[0.000, 0.000, 0.000], [0.750, 0.250, 0.500], [0.250, 0.750, 0.500], [0.626, 0.626, 0.253], [0.374, 0.374, 0.747]]
}

4.
{
  "formula": "Ta2PbW",
  "functional": "PBE-GGA",
  "state": "relaxed",
  "ef_ev_per_fu": 1.63,
  "sg": "Cmm2",
  "cell": [[-1.592, -0.987, 2.349], [-0.687, -1.490, -2.517], [6.608, -6.207, 1.871]],
  "species": ["Pb", "Ta", "Ta", "W"],
  "fractional_positions": [[0.500, 0.500, 0.745], [0.000, 0.000, 0.015], [0.500, 0.500, 0.257], [0.000, 0.000, 0.483]]
}

5.
{
  "formula": "Ac2PaSe5",
  "functional": "PBE-GGA",
  "state": "relaxed",
  "de_polymorph_mev_per_atom": 0,
  "sg": "Pnma",
  "formation_energy_uncorrected_ev_per_atom": -1.828,
  "cell": [[8.089, 0.000, 0.000], [0.000, 8.804, 0.000], [0.000, 0.000, 12.836]],
  "species": ["Ac", "Ac", "Ac", "Ac", "Ac", "Ac", "Ac", "Ac", "Pa", "Pa", "Pa", "Pa", "Se", "Se", "Se", "Se", "Se", "Se", "Se", "Se", "Se", "Se", "Se", "Se", "Se", "Se", "Se", "Se", "Se", "Se", "Se", "Se"],
  "fractional_positions": [[0.463, 0.501, 0.825], [0.537, 0.499, 0.175], [0.963, 0.499, 0.675], [0.537, 0.001, 0.175], [0.037, 0.501, 0.325], [0.463, 0.999, 0.825], [0.037, 0.999, 0.325], [0.963, 0.001, 0.675], [0.434, 0.250, 0.507], [0.566, 0.750, 0.493], [0.934, 0.750, 0.993], [0.066, 0.250, 0.007], [0.054, 0.250, 0.502], [0.946, 0.750, 0.498], [0.554, 0.750, 0.998], [0.446, 0.250, 0.002], [0.333, 0.961, 0.588], [0.667, 0.039, 0.412], [0.833, 0.039, 0.912], [0.667, 0.461, 0.412], [0.167, 0.961, 0.088], [0.333, 0.539, 0.588], [0.167, 0.539, 0.088], [0.833, 0.461, 0.912], [0.182, 0.250, 0.789], [0.818, 0.750, 0.211], [0.682, 0.750, 0.711], [0.318, 0.250, 0.289], [0.659, 0.250, 0.687], [0.341, 0.750, 0.313], [0.159, 0.750, 0.813], [0.841, 0.250, 0.187]]
}

Record order is preserved below.
Final energy: -55.537, -18.573, -40.185, -38.739, -199.035 eV for the cell shown